1.
Here is ZnOs2Au after structural relaxation from OQMD via LeMat-Bulk. Energies are from GGA-PBE.

Lattice parameters (Å, degrees): 4.4202 4.4202 4.4202 60.00 60.00 60.00
With the nearest neighbours (Å) after each atom.
Element x y z (fractional)
Au (0.2500, 0.2500, 0.2500)  4 Zn 2.71, 4 Os 2.71
Os (0.0000, 0.0000, 0.0000)  4 Os 2.71, 4 Au 2.71
Os (0.7500, 0.7500, 0.7500)  4 Os 2.71, 4 Zn 2.71
Zn (0.5000, 0.5000, 0.5000)  4 Au 2.71, 4 Os 2.71

total magnetic moment: 0.0 μB/cell
space-group type: No. 216

2.
Here is Zr2OsAu after structural relaxation from OQMD via LeMat-Bulk. Energies are from GGA-PBE.

Lattice parameters (Å, degrees): 4.6812 4.6812 4.6812 60.00 60.00 60.00
With the nearest neighbours (Å) after each atom.
Element x y z (fractional)
Au (0.5000, 0.5000, 0.5000)  4 Zr 2.87, 4 Os 2.87
Os (0.7500, 0.7500, 0.7500)  4 Zr 2.87, 4 Au 2.87
Zr (0.0000, 0.0000, 0.0000)  4 Zr 2.87, 4 Os 2.87
Zr (0.2500, 0.2500, 0.2500)  4 Zr 2.87, 4 Au 2.87

total magnetic moment: 0.0 μB/cell
space-group type: No. 216

3.
Here is ZrOsAu2 after structural relaxation from OQMD via LeMat-Bulk. Energies are from GGA-PBE.

Lattice parameters (Å, degrees): 4.6472 4.6472 4.6472 60.00 60.00 60.00
With the nearest neighbours (Å) after each atom.
Element x y z (fractional)
Au (0.0000, 0.0000, 0.0000)  4 Au 2.85, 4 Os 2.85
Au (0.2500, 0.2500, 0.2500)  4 Au 2.85, 4 Zr 2.85
Os (0.7500, 0.7500, 0.7500)  4 Zr 2.85, 4 Au 2.85
Zr (0.5000, 0.5000, 0.5000)  4 Au 2.85, 4 Os 2.85

total magnetic moment: 0.0 μB/cell
space-group type: No. 216

Number 1: DFT formation energy 55.49 kJ/mol of atoms, DFT total energy -24.68 eV per cell. Number 2: DFT formation energy -10.77 kJ/mol of atoms, DFT total energy -32.03 eV per cell. Number 3: DFT formation energy 2.56 kJ/mol of atoms, DFT total energy -26.20 eV per cell.